DFT (PBE) results for a relaxed HoEr3Th4S8 crystal.

## Properties
Final energy in eV for the cell shown: -334.179

Cell lengths 7.7582, 7.7582, 20.1593 Å; angles 90.00, 90.00, 120.00 degrees
Space group R-3m (No. 166, hexagonal axes)
Unique sites:
Ho: 0.0000 0.0000 0.0000 [3 per cell]
Er: 0.0000 0.5000 0.0000 [9 per cell]
Th: 0.0000 0.0000 0.5000 [3 per cell]
Th: 0.0000 0.5000 0.5000 [9 per cell]
S: 0.0000 0.0000 0.2567 [6 per cell]
S: 0.0009 0.5004 0.2565 [18 per cell]